1.
Entry from Alexandria: a relaxed NaFe2Sb crystal (GGA-PBE).

a = 5.9921 Å, b = 5.9921 Å, c = 5.9921 Å
α = 102.51°, β = 102.51°, γ = 124.52°
Fractional coordinates of all 8 atoms:
Na: 0.0000 0.0000 0.0000
Na: 0.7500 0.2500 0.5000
Fe: 0.1518 0.6250 0.0268
Fe: 0.3750 0.4018 0.5268
Fe: 0.5982 0.1250 0.9732
Fe: 0.8750 0.8482 0.4732
Sb: 0.2500 0.7500 0.5000
Sb: 0.5000 0.5000 0.0000

Space group: I-42d (122)
VASP energy, eV/atom: -4.85
Crystal system: tetragonal

***

2.
Entry from Alexandria: a relaxed Na2FeSb2 crystal (GGA-PBE).

a = 6.8434 Å, b = 6.8434 Å, c = 5.2337 Å
α = 90.00°, β = 90.00°, γ = 90.00°
Fractional coordinates of all 10 atoms:
Na: 0.1692 0.3308 0.0000
Na: 0.3308 0.8308 0.0000
Na: 0.6692 0.1692 0.0000
Na: 0.8308 0.6692 0.0000
Fe: 0.0000 0.0000 0.5000
Fe: 0.5000 0.5000 0.5000
Sb: 0.1525 0.6525 0.5000
Sb: 0.3475 0.1525 0.5000
Sb: 0.6525 0.8475 0.5000
Sb: 0.8475 0.3475 0.5000

Energy above the lowest structure with this stoichiometry, meV/atom: 0
Space group: P4/mbm (127)
Crystal system: tetragonal

***

3.
Entry from Alexandria: a relaxed Na2FeSb2 crystal (GGA-PBE).

a = 8.8213 Å, b = 8.8213 Å, c = 8.8213 Å
α = 152.03°, β = 152.03°, γ = 39.96°
Fractional coordinates of all 5 atoms:
Na: 0.0974 0.0974 0.0000
Na: 0.9026 0.9026 0.0000
Fe: 0.5000 0.5000 0.0000
Sb: 0.2500 0.7500 0.5000
Sb: 0.7500 0.2500 0.5000

Energy above the lowest structure with this stoichiometry, meV/atom: 694
Space group: I4/mmm (139)
Crystal system: tetragonal

***

no.,density of states at the Fermi level (states/eV/f.u.)
1,2.9
2,0.6
3,8.9